Entry 1:
Compound: NdDy3Hg3
Source: Alexandria via LeMat-Bulk
Functional: PBE-GGA
Structure: optimized geometry

Space group ... P6_3/m, No. 176
N(E_F) ... 17.14 states/eV/cell
Spin magnetization ... 0.000 μB/atom
Formation enthalpy at 0 K ... -2.23 eV/f.u.

abc: 5.155 9.367 9.367
angles: 120.00 90.00 90.00
Sites, in units of the cell vectors:
Dy: 0.750 0.765 0.010
Dy: 0.250 0.010 0.245
Dy: 0.750 0.245 0.235
Dy: 0.250 0.235 0.990
Dy: 0.750 0.990 0.755
Dy: 0.250 0.755 0.765
Hg: 0.250 0.558 0.944
Hg: 0.750 0.614 0.558
Hg: 0.750 0.944 0.386
Hg: 0.750 0.442 0.056
Hg: 0.250 0.386 0.442
Hg: 0.250 0.056 0.614
Nd: 0.750 0.333 0.667
Nd: 0.250 0.667 0.333


Entry 2:
Compound: SrMgZr
Source: Alexandria via LeMat-Bulk
Functional: PBE-GGA
Structure: optimized geometry

Space group ... P6_3/mmc, No. 194
N(E_F) ... 7.36 states/eV/cell
Relative energy among the computed polymorphs ... 0.375 eV/atom
Spin magnetization ... 0.000 μB/atom
Formation enthalpy at 0 K ... 1.57 eV/f.u.

abc: 9.441 6.957 5.448
angles: 90.00 90.00 90.00
Sites, in units of the cell vectors:
Sr: 0.500 0.000 0.500
Sr: 0.000 0.500 0.000
Sr: 0.000 0.000 0.000
Sr: 0.500 0.500 0.500
Mg: 0.666 0.250 0.000
Mg: 0.834 0.750 0.500
Mg: 0.166 0.250 0.500
Mg: 0.334 0.750 0.000
Zr: 0.167 0.750 0.500
Zr: 0.667 0.750 0.000
Zr: 0.333 0.250 0.000
Zr: 0.833 0.250 0.500


Entry 3:
Compound: Pa2As3Rh2
Source: Alexandria via LeMat-Bulk
Functional: PBE-GGA
Structure: optimized geometry

Space group ... P2_1/c, No. 14
N(E_F) ... 8.99 states/eV/cell
Spin magnetization ... 0.000 μB/atom
Formation enthalpy at 0 K ... -5.74 eV/f.u.

abc: 8.626 6.223 6.987
angles: 90.00 49.12 90.00
Sites, in units of the cell vectors:
Pa: 0.912 0.677 0.785
Pa: 0.088 0.323 0.215
Pa: 0.588 0.177 0.215
Pa: 0.412 0.823 0.785
Rh: 0.020 0.245 0.669
Rh: 0.980 0.755 0.331
Rh: 0.520 0.255 0.669
Rh: 0.480 0.745 0.331
As: 0.000 0.000 0.000
As: 0.756 0.054 0.685
As: 0.500 0.500 0.000
As: 0.256 0.446 0.685
As: 0.244 0.946 0.315
As: 0.744 0.554 0.315


Entry 4:
Compound: TbTh2Tl
Source: Alexandria via LeMat-Bulk
Functional: PBE-GGA
Structure: optimized geometry

Space group ... P2_1/m, No. 11
N(E_F) ... 8.51 states/eV/cell
Relative energy among the computed polymorphs ... 0.045 eV/atom
Spin magnetization ... 0.000 μB/atom
Formation enthalpy at 0 K ... -0.23 eV/f.u.

abc: 5.682 6.152 6.893
angles: 88.72 90.00 90.00
Sites, in units of the cell vectors:
Th: 0.250 0.125 0.799
Th: 0.750 0.359 0.004
Th: 0.750 0.875 0.201
Th: 0.250 0.641 0.996
Tb: 0.750 0.337 0.499
Tb: 0.250 0.663 0.501
Tl: 0.750 0.832 0.707
Tl: 0.250 0.168 0.293


Entry 5:
Compound: Na2AgGe4Au3
Source: Alexandria via LeMat-Bulk
Functional: PBE-GGA
Structure: optimized geometry

Space group ... P-4m2, No. 115
N(E_F) ... 3.15 states/eV/cell
Spin magnetization ... 0.000 μB/atom
Formation enthalpy at 0 K ... -1.16 eV/f.u.

abc: 4.369 4.369 11.142
angles: 90.00 90.00 90.00
Sites, in units of the cell vectors:
Na: 0.000 0.500 0.742
Na: 0.500 0.000 0.258
Au: 0.000 0.000 0.500
Au: 0.000 0.500 0.140
Au: 0.500 0.000 0.860
Ge: 0.000 0.500 0.365
Ge: 0.500 0.500 0.000
Ge: 0.000 0.000 0.000
Ge: 0.500 0.000 0.635
Ag: 0.500 0.500 0.500


Entry 6:
Compound: PmZrGe
Source: Alexandria via LeMat-Bulk
Functional: PBE-GGA
Structure: optimized geometry

Space group ... P4/nmm, No. 129
N(E_F) ... 6.22 states/eV/cell
Relative energy among the computed polymorphs ... 0.000 eV/atom
Spin magnetization ... 0.101 μB/atom
Formation enthalpy at 0 K ... -2.02 eV/f.u.

abc: 4.236 4.236 8.177
angles: 90.00 90.00 90.00
Each line ends with the local moment (μB).
Sites, in units of the cell vectors:
Pm: 0.813 0.866 0.571  0.14
Pm: 0.314 0.367 0.268  0.14
Zr: 0.814 0.366 0.920  -0.01
Zr: 0.314 0.866 0.920  -0.01
Ge: 0.814 0.867 0.172  -0.01
Ge: 0.314 0.366 0.667  -0.01


Entry 7:
Compound: Pm2ScTe3
Source: Alexandria via LeMat-Bulk
Functional: PBE-GGA
Structure: optimized geometry

Space group ... Immm, No. 71
N(E_F) ... 3.79 states/eV/cell
Relative energy among the computed polymorphs ... 0.000 eV/atom
Spin magnetization ... 0.000 μB/atom
Uncorrected formation energy ... -1288 meV/atom

abc: 4.347 6.191 7.600
angles: 114.04 106.62 90.00
Sites, in units of the cell vectors:
Te: 0.349 0.349 0.697
Te: 0.000 0.000 0.000
Te: 0.651 0.651 0.303
Pm: 0.324 0.824 0.648
Pm: 0.676 0.176 0.352
Sc: 0.000 0.500 0.000


Entry 8:
Compound: Hf5InCo
Source: Alexandria via LeMat-Bulk
Functional: PBE-GGA
Structure: optimized geometry

Space group ... C2/c, No. 15
N(E_F) ... 11.66 states/eV/cell
Spin magnetization ... 0.000 μB/atom
Formation enthalpy at 0 K ... 0.01 eV/f.u.

abc: 5.318 5.318 10.582
angles: 79.06 79.06 88.39
Sites, in units of the cell vectors:
Hf: 0.915 0.570 0.123
Hf: 0.219 0.510 0.566
Hf: 0.430 0.085 0.377
Hf: 0.510 0.219 0.066
Hf: 0.085 0.430 0.877
Hf: 0.781 0.490 0.434
Hf: 0.978 0.022 0.250
Hf: 0.490 0.781 0.934
Hf: 0.570 0.915 0.623
Hf: 0.022 0.978 0.750
Co: 0.000 0.000 0.000
Co: 0.000 0.000 0.500
In: 0.624 0.376 0.750
In: 0.376 0.624 0.250


Entry 9:
Compound: Sr5Bi3O12
Source: Alexandria via LeMat-Bulk
Functional: PBE-GGA
Structure: optimized geometry

Space group ... P-1, No. 2
N(E_F) ... 3.90 states/eV/cell
Spin magnetization ... 0.000 μB/atom
Uncorrected formation energy ... -1966 meV/atom

abc: 6.024 6.200 8.602
angles: 89.52 89.83 89.98
Sites, in units of the cell vectors:
Sr: 0.016 0.552 0.758
Sr: 0.984 0.448 0.242
Sr: 0.511 0.951 0.245
Sr: 0.000 0.000 0.000
Sr: 0.489 0.049 0.755
O: 0.713 0.211 0.440
O: 0.791 0.718 0.433
O: 0.392 0.545 0.251
O: 0.109 0.047 0.271
O: 0.790 0.675 0.047
O: 0.287 0.789 0.560
O: 0.608 0.455 0.749
O: 0.891 0.953 0.729
O: 0.209 0.282 0.567
O: 0.210 0.325 0.953
O: 0.671 0.212 0.052
O: 0.329 0.788 0.948
Bi: 0.000 0.000 0.500
Bi: 0.500 0.500 0.000
Bi: 0.500 0.500 0.500


Entry 10:
Compound: LaCd3Au4
Source: Alexandria via LeMat-Bulk
Functional: PBE-GGA
Structure: optimized geometry

Space group ... R-3m, No. 166
N(E_F) ... 3.91 states/eV/cell
Spin magnetization ... 0.000 μB/atom
Formation enthalpy at 0 K ... -3.25 eV/f.u.

abc: 4.813 4.813 9.199
angles: 74.83 74.83 60.00
Sites, in units of the cell vectors:
Au: 0.126 0.126 0.622
Au: 0.609 0.609 0.172
Au: 0.391 0.391 0.828
Au: 0.874 0.874 0.378
Cd: 0.500 0.500 0.500
Cd: 0.244 0.244 0.267
Cd: 0.756 0.756 0.733
La: 0.000 0.000 0.000


Entry 11:
Compound: Rb2SnP2
Source: Alexandria via LeMat-Bulk
Functional: PBE-GGA
Structure: optimized geometry

Space group ... P4/mbm, No. 127
N(E_F) ... 8.26 states/eV/cell
Spin magnetization ... 0.000 μB/atom
Formation enthalpy at 0 K ... -0.94 eV/f.u.

abc: 7.364 7.364 5.550
angles: 90.00 90.00 90.00
Sites, in units of the cell vectors:
P: 0.896 0.604 0.000
P: 0.104 0.396 0.000
P: 0.396 0.896 0.000
P: 0.604 0.104 0.000
Sn: 0.500 0.500 0.000
Sn: 0.000 0.000 0.000
Rb: 0.315 0.185 0.500
Rb: 0.685 0.815 0.500
Rb: 0.815 0.315 0.500
Rb: 0.185 0.685 0.500


Entry 12:
Compound: SrZrAu2
Source: Alexandria via LeMat-Bulk
Functional: PBE-GGA
Structure: optimized geometry

Space group ... Pm, No. 6
N(E_F) ... 3.06 states/eV/cell
Relative energy among the computed polymorphs ... 0.102 eV/atom
Spin magnetization ... 0.000 μB/atom
Formation enthalpy at 0 K ... -1.77 eV/f.u.

abc: 4.826 3.579 5.715
angles: 77.59 90.00 90.00
Sites, in units of the cell vectors:
Sr: 0.000 0.520 0.413
Au: 0.000 0.178 0.937
Au: 0.500 0.060 0.288
Zr: 0.500 0.742 0.861


Entry 13:
Compound: TmTeIr
Source: Alexandria via LeMat-Bulk
Functional: PBE-GGA
Structure: optimized geometry

Space group ... I4/mmm, No. 139
N(E_F) ... 5.36 states/eV/cell
Spin magnetization ... 0.000 μB/atom
Uncorrected formation energy ... -609 meV/atom

abc: 3.765 3.765 11.074
angles: 99.79 99.79 90.00
Sites, in units of the cell vectors:
Te: 0.415 0.415 0.831
Te: 0.585 0.585 0.169
Ir: 0.724 0.724 0.448
Ir: 0.276 0.276 0.552
Tm: 0.152 0.152 0.303
Tm: 0.848 0.848 0.697


Entry 14:
Compound: ScReAs
Source: Alexandria via LeMat-Bulk
Functional: PBE-GGA
Structure: optimized geometry

Space group ... P-6m2, No. 187
N(E_F) ... 2.34 states/eV/cell
Relative energy among the computed polymorphs ... 0.028 eV/atom
Spin magnetization ... 0.000 μB/atom
Formation enthalpy at 0 K ... -0.81 eV/f.u.

abc: 4.287 4.287 3.306
angles: 90.00 90.00 120.00
Sites, in units of the cell vectors:
Sc: 0.333 0.667 0.667
Re: 0.667 0.333 0.167
As: 0.000 0.000 0.167


Entry 15:
Compound: PrPaAs2
Source: Alexandria via LeMat-Bulk
Functional: PBE-GGA
Structure: optimized geometry

Space group ... Cmcm, No. 63
N(E_F) ... 9.04 states/eV/cell
Relative energy among the computed polymorphs ... 0.150 eV/atom
Spin magnetization ... 0.097 μB/atom
Formation enthalpy at 0 K ... -4.51 eV/f.u.

abc: 4.314 4.065 11.977
angles: 99.77 90.00 90.00
Each line ends with the local moment (μB).
Sites, in units of the cell vectors:
Pa: 0.750 0.812 0.624  0.32
Pa: 0.250 0.188 0.376  0.32
As: 0.250 0.064 0.127  0.00
As: 0.750 0.689 0.379  -0.01
As: 0.250 0.311 0.621  -0.01
As: 0.750 0.936 0.873  0.00
Pr: 0.250 0.435 0.870  0.01
Pr: 0.750 0.565 0.130  0.01


Entry 16:
Compound: BaYPb2
Source: Alexandria via LeMat-Bulk
Functional: PBE-GGA
Structure: optimized geometry

Space group ... I-4m2, No. 119
N(E_F) ... 3.83 states/eV/cell
Spin magnetization ... 0.000 μB/atom
Formation enthalpy at 0 K ... -1.20 eV/f.u.

abc: 6.689 6.689 6.689
angles: 137.54 137.54 61.61
Sites, in units of the cell vectors:
Pb: 0.250 0.750 0.500
Pb: 0.000 0.000 0.000
Y: 0.500 0.500 0.000
Ba: 0.750 0.250 0.500


Entry 17:
Compound: SrSc2Ga
Source: Alexandria via LeMat-Bulk
Functional: PBE-GGA
Structure: optimized geometry

Space group ... I-42d, No. 122
N(E_F) ... 13.06 states/eV/cell
Spin magnetization ... 0.000 μB/atom
Formation enthalpy at 0 K ... 0.97 eV/f.u.

abc: 4.499 4.499 11.279
angles: 78.49 78.49 90.00
Sites, in units of the cell vectors:
Sc: 0.375 0.413 0.750
Sc: 0.875 0.837 0.750
Sc: 0.587 0.125 0.250
Sc: 0.163 0.625 0.250
Ga: 0.250 0.750 0.500
Ga: 0.500 0.500 0.000
Sr: 0.750 0.250 0.500
Sr: 0.000 0.000 0.000


Entry 18:
Compound: MgGeN2O
Source: Alexandria via LeMat-Bulk
Functional: PBE-GGA
Structure: optimized geometry

Space group ... P4/mmm, No. 123
N(E_F) ... 1.93 states/eV/cell
Spin magnetization ... 0.800 μB/atom
Uncorrected formation energy ... 904 meV/atom

abc: 4.128 4.128 3.849
angles: 90.00 90.00 90.00
Each line ends with the local moment (μB).
Sites, in units of the cell vectors:
N: 0.000 0.500 0.000  1.17
N: 0.500 0.000 0.000  1.17
O: 0.000 0.000 0.500  0.62
Ge: 0.500 0.500 0.500  -0.02
Mg: 0.000 0.000 0.000  0.01


Entry 19:
Compound: BiBS2N
Source: Alexandria via LeMat-Bulk
Functional: PBE-GGA
Structure: optimized geometry

Space group ... P4/mmm, No. 123
N(E_F) ... 5.07 states/eV/cell
Relative energy among the computed polymorphs ... 0.000 eV/atom
Spin magnetization ... 0.000 μB/atom
Uncorrected formation energy ... 377 meV/atom

abc: 5.642 5.642 2.747
angles: 90.00 90.00 90.00
Sites, in units of the cell vectors:
S: 0.000 0.500 0.000
S: 0.500 0.000 0.000
Bi: 0.500 0.500 0.500
N: 0.000 0.000 0.500
B: 0.000 0.000 0.000


Entry 20:
Compound: PtSe2Cl
Source: Alexandria via LeMat-Bulk
Functional: PBE-GGA
Structure: optimized geometry

Space group ... Pmmm, No. 47
N(E_F) ... 3.15 states/eV/cell
Relative energy among the computed polymorphs ... 0.752 eV/atom
Spin magnetization ... 0.000 μB/atom
Uncorrected formation energy ... 407 meV/atom

abc: 3.609 8.229 3.607
angles: 90.00 90.00 90.00
Sites, in units of the cell vectors:
Se: 0.500 0.500 0.000
Se: 0.000 0.000 0.000
Pt: 0.000 0.500 0.500
Cl: 0.500 0.000 0.500